A plane-wave DFT calculation with PBE was carried out for a geometry-optimized LiSm2Si3 structure.

```
LiSm2Si3
1.0
-2.466 1.968 4.884
-1.235 -5.482 1.494
8.115 1.262 0.174
Si Sm Li
6 4 2
direct
0.169 0.665 0.834
0.665 0.169 0.834
0.831 0.335 0.166
0.834 0.834 0.668
0.335 0.831 0.166
0.166 0.166 0.332
0.750 0.250 0.500
0.250 0.750 0.500
0.757 0.757 0.000
0.243 0.243 0.000
0.334 0.334 0.668
0.666 0.666 0.332
```

Computed properties:
Formation energy from raw total energies in kJ per mole of atoms: -64.24